## SrTaTl (PBE)

Data for a geometry-optimized SrTaTl structure.

The structure in POSCAR format:
```
SrTaTl
1.0
7.2419 0.0000 0.0000
0.0000 7.2419 0.0000
0.0000 0.0000 7.2419
Sr Ta Tl
4 4 4
direct
0.0000 0.0000 0.0000 Sr
0.0000 0.5000 0.5000 Sr
0.5000 0.0000 0.5000 Sr
0.5000 0.5000 0.0000 Sr
0.0000 0.0000 0.5000 Ta
0.0000 0.5000 0.0000 Ta
0.5000 0.0000 0.0000 Ta
0.5000 0.5000 0.5000 Ta
0.2500 0.2500 0.7500 Tl
0.2500 0.7500 0.2500 Tl
0.7500 0.2500 0.2500 Tl
0.7500 0.7500 0.7500 Tl
```

Calculated values
M_tot, μB per formula unit: 2.3
Formation energy from the elements, eV/atom: 1.0766
Density of states at the Fermi level, states/eV/atom: 1.32
DFT total energy, eV/cell: -50.683

---

## Fe2ReNi2 (PBE)

Data for a geometry-optimized Fe2ReNi2 structure.

The structure in POSCAR format:
```
Fe2ReNi2
1.0
6.8826 0.0000 0.0000
0.0000 6.8826 0.0000
0.0000 0.0000 2.5470
Fe Re Ni
4 2 4
direct
0.1209 0.3791 0.0000 Fe
0.3791 0.8791 0.0000 Fe
0.6209 0.1209 0.0000 Fe
0.8791 0.6209 0.0000 Fe
0.0000 0.0000 0.0000 Re
0.5000 0.5000 0.0000 Re
0.1763 0.6763 0.5000 Ni
0.3237 0.1763 0.5000 Ni
0.6763 0.8237 0.5000 Ni
0.8237 0.3237 0.5000 Ni
```

Calculated values
M_tot, μB per formula unit: 5.7
Formation energy from the elements, eV/atom: 0.2069
Density of states at the Fermi level, states/eV/atom: 1.03
DFT total energy, eV/cell: -79.803

---

## BeAl2Ir (PBE)

Data for a geometry-optimized BeAl2Ir structure.

The structure in POSCAR format:
```
BeAl2Ir
1.0
6.6090 0.0000 0.0000
0.0000 6.6013 0.0000
-0.0242 0.0000 4.8598
Be Al Ir
4 8 4
direct
0.1237 0.0000 0.2424 Be
0.3763 0.5000 0.7576 Be
0.6237 0.5000 0.2424 Be
0.8763 0.0000 0.7576 Be
0.0000 0.3668 0.0000 Al
0.0000 0.3678 0.5000 Al
0.1242 0.7495 0.7493 Al
0.3758 0.2495 0.2507 Al
0.5000 0.8668 0.0000 Al
0.5000 0.8678 0.5000 Al
0.6242 0.2495 0.7493 Al
0.8758 0.7495 0.2507 Al
0.2460 0.1224 0.7497 Ir
0.2540 0.6224 0.2503 Ir
0.7460 0.6224 0.7497 Ir
0.7540 0.1224 0.2503 Ir
```

Calculated values
M_tot, μB per formula unit: 0.0
Formation energy from the elements, eV/atom: -0.5006
Density of states at the Fermi level, states/eV/atom: 0.42
DFT total energy, eV/cell: -88.299